No. 1
Below is an optimized crystal structure of UBiRu, with properties calculated at the PBE level.

It has space group Cmcm (No. 63), with a = 3.2285 Å, b = 19.0155 Å, c = 4.7678 Å, α = 90.00°, β = 90.00° and γ = 90.00°. The asymmetric unit holds U at (0.0000, 0.0714, 0.2500), Bi at (0.0000, 0.1888, 0.7500) and Ru at (0.0000, 0.4479, 0.2500).

The value obtained for the formation energy is 0.02 eV per atom. The polymorph energy (0 for the lowest one) is 0.00 eV/f.u.

---

No. 2
Below is an optimized crystal structure of AcMgAgF6, with properties calculated at the PBE level.

It has space group P312 (No. 149), with a = 5.7667 Å, b = 5.7667 Å, c = 5.2177 Å, α = 90.00°, β = 90.00° and γ = 120.00°. The asymmetric unit holds Ac at (0.0000, 0.0000, 0.0000), Mg at (0.6667, 0.3333, 0.5000), Ag at (0.3333, 0.6667, 0.5000) and F at (0.3687, 0.0573, 0.7250).

The calculated total energy comes out at -48.641 eV per cell.

---

No. 3
Below is an optimized crystal structure of LaCdP2, with properties calculated at the PBE level.

It has space group F-43m (No. 216), with a = 7.0758 Å, b = 7.0758 Å, c = 7.0758 Å, α = 90.00°, β = 90.00° and γ = 90.00°. The asymmetric unit holds La at (0.0000, 0.0000, 0.0000), Cd at (0.2500, 0.2500, 0.7500), P at (0.0000, 0.0000, 0.5000) and P at (0.2500, 0.2500, 0.2500).

The value obtained for the formation energy is -0.10 eV per atom. The polymorph energy (0 for the lowest one) is 2.14 eV/f.u.

---

Across the entries above, total moment takes the values 7.5; 0.1; 0.0 μB per cell, respectively.